[1]
Zr2TeCl | GGA-PBEsol | optimized geometry Values from VASP.

Energy relative to the elements, uncorrected (eV/atom): -0.614
DOS(E_F) (states/eV per atom): 0.751
Energy above the most stable polymorph in this dataset (meV per atom): 170.0

```
&SYSTEM
  ibrav = 0, nat = 4, ntyp = 3
/
ATOMIC_SPECIES
Zr 91.22 Zr.upf
Cl 35.45 Cl.upf
Te 127.60 Te.upf
ATOMIC_POSITIONS angstrom
Zr -2.185 -1.830 1.876
Zr -4.378 -3.974 0.770
Cl -1.665 -4.437 1.717
Te -2.371 -2.616 -0.923
CELL_PARAMETERS angstrom
-2.406 1.571 1.727
-2.910 -0.353 -3.734
0.897 -5.301 2.819
```

[2]
BaScBe2 | GGA-PBEsol | optimized geometry Values from VASP.

Formation energy (eV/f.u.): 1.1
DOS(E_F) (states/eV per atom): 0.701

```
&SYSTEM
  ibrav = 0, nat = 4, ntyp = 3
/
ATOMIC_SPECIES
Ba 137.33 Ba.upf
Be 9.01 Be.upf
Sc 44.96 Sc.upf
ATOMIC_POSITIONS angstrom
Ba -2.655 2.492 2.333
Be -0.121 0.614 0.960
Be -0.633 3.213 5.021
Sc -2.278 0.579 -0.657
CELL_PARAMETERS angstrom
-1.441 2.556 -1.817
-3.115 -1.399 0.502
-0.754 3.827 5.981
```

[3]
CrRh2Br | GGA-PBEsol | optimized geometry Values from VASP.

Energy relative to the elements, uncorrected (eV/atom): 0.390
DOS(E_F) (states/eV per atom): 1.076
Energy above the most stable polymorph in this dataset (meV per atom): 0.0

```
&SYSTEM
  ibrav = 0, nat = 4, ntyp = 3
/
ATOMIC_SPECIES
Br 79.90 Br.upf
Rh 102.91 Rh.upf
Cr 52.00 Cr.upf
ATOMIC_POSITIONS angstrom
Br 2.831 -4.610 0.816
Rh 1.161 -2.178 0.446
Rh 4.502 -7.042 1.186
Cr 0.000 0.000 0.000
CELL_PARAMETERS angstrom
-0.412 -1.508 2.280
-1.253 -2.458 -0.176
7.328 -5.254 -0.473
```

[4]
K2NaAu2 | GGA-PBEsol | optimized geometry Values from VASP.

Formation energy (eV/f.u.): -0.7
DOS(E_F) (states/eV per atom): 0.408

```
&SYSTEM
  ibrav = 0, nat = 10, ntyp = 3
/
ATOMIC_SPECIES
Au 196.97 Au.upf
Na 22.99 Na.upf
K 39.10 K.upf
ATOMIC_POSITIONS angstrom
Au -4.236 -2.357 -1.383
Au -0.378 -7.274 -2.046
Au 0.118 -3.035 -0.806
Au -4.732 -6.596 -2.624
Na -2.307 -4.815 -1.715
Na 0.000 0.000 0.000
K 0.185 -5.885 0.963
K -3.032 -8.257 -0.246
K -5.602 -4.994 0.192
K -2.385 -2.622 1.401
CELL_PARAMETERS angstrom
-0.803 -1.248 4.585
-7.333 -2.335 -1.919
2.718 -7.296 -1.510
```

[5]
LaMgZrPd2 | GGA-PBEsol | optimized geometry Values from VASP.

Formation energy (eV/f.u.): 1.0
DOS(E_F) (states/eV per atom): 0.660

```
&SYSTEM
  ibrav = 0, nat = 5, ntyp = 4
/
ATOMIC_SPECIES
Pd 106.42 Pd.upf
La 138.91 La.upf
Mg 24.30 Mg.upf
Zr 91.22 Zr.upf
ATOMIC_POSITIONS angstrom
Pd -1.162 1.706 -1.310
Pd -1.406 0.525 1.930
La -0.815 4.030 1.407
Mg 1.753 1.800 0.788
Zr 0.000 0.000 0.000
CELL_PARAMETERS angstrom
-2.325 3.411 -2.621
-2.811 1.050 3.860
3.507 3.600 1.575
```

[6]
BeSbAs2 | GGA-PBEsol | optimized geometry Values from VASP.

Energy relative to the elements, uncorrected (eV/atom): 0.254
DOS(E_F) (states/eV per atom): 0.350
Energy above the most stable polymorph in this dataset (meV per atom): 196.7

```
&SYSTEM
  ibrav = 0, nat = 4, ntyp = 3
/
ATOMIC_SPECIES
As 74.92 As.upf
Sb 121.76 Sb.upf
Be 9.01 Be.upf
ATOMIC_POSITIONS angstrom
As -3.080 -0.366 3.741
As -0.023 0.009 0.049
Sb -0.031 -0.812 2.864
Be -2.577 1.053 5.552
CELL_PARAMETERS angstrom
-2.377 -2.278 -0.671
1.959 -2.450 1.374
-2.542 3.488 5.576
```

[7]
TlAs2PbSe | GGA-PBEsol | optimized geometry Values from VASP.

Energy relative to the elements, uncorrected (eV/atom): 0.702
DOS(E_F) (states/eV per atom): 1.046

```
&SYSTEM
  ibrav = 0, nat = 5, ntyp = 4
/
ATOMIC_SPECIES
Pb 207.20 Pb.upf
As 74.92 As.upf
Se 78.96 Se.upf
Tl 204.38 Tl.upf
ATOMIC_POSITIONS angstrom
Pb 0.000 0.000 0.000
As -0.736 -2.373 -0.989
As 2.365 -1.028 0.709
Se -1.032 -0.694 2.434
Tl 0.597 -4.096 2.154
CELL_PARAMETERS angstrom
-1.471 -4.747 -1.978
4.729 -2.057 1.419
-2.064 -1.389 4.868
```

[8]
Hf2HgSe | GGA-PBEsol | optimized geometry Values from VASP.

Energy relative to the elements, uncorrected (eV/atom): -0.357
DOS(E_F) (states/eV per atom): 0.566

```
&SYSTEM
  ibrav = 0, nat = 4, ntyp = 3
/
ATOMIC_SPECIES
Hf 178.49 Hf.upf
Se 78.96 Se.upf
Hg 200.59 Hg.upf
ATOMIC_POSITIONS angstrom
Hf 2.386 1.378 0.974
Hf 7.159 4.133 2.923
Se 0.000 0.000 0.000
Hg 4.773 2.755 1.948
CELL_PARAMETERS angstrom
4.773 0.000 0.000
2.386 4.133 0.000
2.386 1.378 3.897
```

[9]
NbSeI | GGA-PBEsol | optimized geometry Values from VASP.

Energy relative to the elements, uncorrected (eV/atom): -0.758
DOS(E_F) (states/eV per atom): 0.871

```
&SYSTEM
  ibrav = 0, nat = 12, ntyp = 3
/
ATOMIC_SPECIES
Nb 92.91 Nb.upf
Se 78.96 Se.upf
I 126.90 I.upf
ATOMIC_POSITIONS angstrom
Nb 6.060 5.229 3.697
Nb 9.057 5.229 3.697
Nb 7.558 4.364 1.250
Nb 7.558 2.633 3.697
Se 5.541 3.199 2.262
Se 9.576 3.199 2.262
Se 7.558 6.693 2.262
Se 7.558 4.364 5.556
I 9.470 7.624 5.391
I 13.205 7.624 5.391
I 11.337 6.546 2.341
I 11.337 4.389 5.391
CELL_PARAMETERS angstrom
7.558 0.000 0.000
3.779 6.546 0.000
3.779 2.182 6.171
```

[10]
BeTl2W | GGA-PBEsol | optimized geometry Values from VASP.

Formation energy (eV/f.u.): 3.6
DOS(E_F) (states/eV per atom): 0.345
Energy above the most stable polymorph in this dataset (meV per atom): 184.4

```
&SYSTEM
  ibrav = 0, nat = 4, ntyp = 3
/
ATOMIC_SPECIES
Tl 204.38 Tl.upf
W 183.84 W.upf
Be 9.01 Be.upf
ATOMIC_POSITIONS angstrom
Tl 1.537 0.887 1.992
Tl 4.611 2.662 6.729
W 3.074 1.775 4.360
Be 0.000 0.000 0.000
CELL_PARAMETERS angstrom
3.074 0.000 0.000
1.537 2.662 0.000
1.537 0.887 8.721
```

[11]
Ag2Se | GGA-PBEsol | optimized geometry Values from VASP.

Energy relative to the elements, uncorrected (eV/atom): 0.016
DOS(E_F) (states/eV per atom): 0.203

```
&SYSTEM
  ibrav = 0, nat = 6, ntyp = 2
/
ATOMIC_SPECIES
Ag 107.87 Ag.upf
Se 78.96 Se.upf
ATOMIC_POSITIONS angstrom
Ag -1.010 -2.777 -0.783
Ag -2.804 -3.300 2.697
Ag 0.000 0.000 0.000
Ag -0.096 -2.042 2.040
Se -2.707 -1.258 0.657
Se -1.107 -4.819 1.257
CELL_PARAMETERS angstrom
-4.356 1.281 1.077
0.734 -3.274 -3.243
-0.192 -4.084 4.080
```

[12]
MgTcIr2 | GGA-PBEsol | optimized geometry Values from VASP.

Formation energy (eV/f.u.): 0.1
DOS(E_F) (states/eV per atom): 1.331

```
&SYSTEM
  ibrav = 0, nat = 4, ntyp = 3
/
ATOMIC_SPECIES
Tc 98.00 Tc.upf
Ir 192.22 Ir.upf
Mg 24.30 Mg.upf
ATOMIC_POSITIONS angstrom
Tc -1.335 -0.433 0.068
Ir -0.653 2.099 0.562
Ir 0.274 -0.503 2.196
Mg -1.713 1.164 2.826
CELL_PARAMETERS angstrom
-2.669 -0.866 0.135
0.548 -1.006 4.392
-1.306 4.199 1.125
```

[13]
LiCr2Mo | GGA-PBEsol | optimized geometry Values from VASP.

Formation energy (eV/f.u.): 2.1
DOS(E_F) (states/eV per atom): 0.779
Energy above the most stable polymorph in this dataset (meV per atom): 0.0

```
&SYSTEM
  ibrav = 0, nat = 4, ntyp = 3
/
ATOMIC_SPECIES
Cr 52.00 Cr.upf
Li 6.94 Li.upf
Mo 95.94 Mo.upf
ATOMIC_POSITIONS angstrom
Cr -0.387 1.177 4.108
Cr 1.148 0.998 1.977
Li -1.319 1.246 1.612
Mo -0.193 -1.008 0.621
CELL_PARAMETERS angstrom
-0.387 -2.016 1.242
3.787 1.699 1.619
-2.639 2.492 3.224
```

[14]
LiCd2AuBr | GGA-PBEsol | optimized geometry Values from VASP.

Energy relative to the elements, uncorrected (eV/atom): 0.204
DOS(E_F) (states/eV per atom): 0.597

```
&SYSTEM
  ibrav = 0, nat = 5, ntyp = 4
/
ATOMIC_SPECIES
Li 6.94 Li.upf
Cd 112.41 Cd.upf
Br 79.90 Br.upf
Au 196.97 Au.upf
ATOMIC_POSITIONS angstrom
Li 0.000 0.000 0.000
Cd 0.000 0.000 2.553
Cd 0.000 2.553 0.000
Br 2.231 2.553 2.553
Au 2.231 0.000 0.000
CELL_PARAMETERS angstrom
4.463 0.000 0.000
0.000 5.106 0.000
0.000 0.000 5.106
```

[15]
BiOsAu2 | GGA-PBEsol | optimized geometry Values from VASP.

Formation energy (eV/f.u.): 3.2
DOS(E_F) (states/eV per atom): 1.173

```
&SYSTEM
  ibrav = 0, nat = 4, ntyp = 3
/
ATOMIC_SPECIES
Au 196.97 Au.upf
Bi 208.98 Bi.upf
Os 190.23 Os.upf
ATOMIC_POSITIONS angstrom
Au 1.031 -1.400 2.313
Au 3.093 -4.201 6.938
Bi 2.062 -2.801 4.626
Os 0.000 0.000 0.000
CELL_PARAMETERS angstrom
-1.129 -2.798 3.636
3.040 -3.305 1.471
2.214 0.502 4.144
```

[16]
EuPIr | GGA-PBEsol | optimized geometry Values from VASP.

Formation energy (eV/f.u.): -3.3
DOS(E_F) (states/eV per atom): 3.368

```
&SYSTEM
  ibrav = 0, nat = 12, ntyp = 3
/
ATOMIC_SPECIES
Ir 192.22 Ir.upf
P 30.97 P.upf
Eu 151.96 Eu.upf
ATOMIC_POSITIONS angstrom
Ir 2.586 2.586 2.586
Ir 5.683 0.512 3.609
Ir 3.609 5.683 0.512
Ir 0.512 3.609 5.683
P 4.160 1.062 2.035
P 1.062 2.035 4.160
P 5.132 5.132 5.132
P 2.035 4.160 1.062
Eu 3.767 2.428 5.525
Eu 0.670 0.670 0.670
Eu 5.525 3.767 2.428
Eu 2.428 5.525 3.767
CELL_PARAMETERS angstrom
6.195 0.000 0.000
0.000 6.195 0.000
0.000 0.000 6.195
```

[17]
Y2BeIn | GGA-PBEsol | optimized geometry Values from VASP.

Formation energy (eV/f.u.): -0.6
DOS(E_F) (states/eV per atom): 0.966
Energy above the most stable polymorph in this dataset (meV per atom): 95.2

```
&SYSTEM
  ibrav = 0, nat = 4, ntyp = 3
/
ATOMIC_SPECIES
Y 88.91 Y.upf
Be 9.01 Be.upf
In 114.82 In.upf
ATOMIC_POSITIONS angstrom
Y 0.010 0.048 0.022
Y 0.804 1.003 3.119
Be 0.931 4.361 2.001
In -1.142 2.917 1.632
CELL_PARAMETERS angstrom
-3.448 0.385 0.765
0.722 -2.143 4.335
2.346 5.483 -0.438
```

[18]
ZrSn2WS | GGA-PBEsol | optimized geometry Values from VASP.

Energy relative to the elements, uncorrected (eV/atom): 1.523
DOS(E_F) (states/eV per atom): 1.094

```
&SYSTEM
  ibrav = 0, nat = 5, ntyp = 4
/
ATOMIC_SPECIES
Sn 118.71 Sn.upf
S 32.06 S.upf
W 183.84 W.upf
Zr 91.22 Zr.upf
ATOMIC_POSITIONS angstrom
Sn -1.649 0.931 1.947
Sn 1.808 -0.743 1.886
S -0.884 -1.971 3.982
W -1.043 -2.159 0.149
Zr 0.000 0.000 0.000
CELL_PARAMETERS angstrom
-2.086 -4.318 0.298
3.615 -1.486 3.772
-3.298 1.861 3.894
```

[19]
SrSi2P | GGA-PBEsol | optimized geometry Values from VASP.

Energy relative to the elements, uncorrected (eV/atom): -0.060
DOS(E_F) (states/eV per atom): 0.438

```
&SYSTEM
  ibrav = 0, nat = 4, ntyp = 3
/
ATOMIC_SPECIES
Sr 87.62 Sr.upf
Si 28.09 Si.upf
P 30.97 P.upf
ATOMIC_POSITIONS angstrom
Sr 1.709 1.790 3.181
Si 0.000 0.000 1.133
Si 0.000 0.000 5.228
P 1.709 1.790 0.000
CELL_PARAMETERS angstrom
3.498 0.081 0.000
-0.081 3.498 0.000
0.000 0.000 6.361
```

[20]
Li4BrCl | GGA-PBEsol | optimized geometry Values from VASP.

Energy relative to the elements, uncorrected (eV/atom): -0.511
DOS(E_F) (states/eV per atom): 0.279

```
&SYSTEM
  ibrav = 0, nat = 6, ntyp = 3
/
ATOMIC_SPECIES
Cl 35.45 Cl.upf
Br 79.90 Br.upf
Li 6.94 Li.upf
ATOMIC_POSITIONS angstrom
Cl 0.000 0.000 0.000
Br -2.400 -5.736 -8.005
Li -1.201 -2.869 -4.005
Li -0.193 -4.256 -6.161
Li -2.395 -5.216 -4.813
Li -2.611 -2.954 -6.369
CELL_PARAMETERS angstrom
-2.826 -0.169 -4.736
2.018 -2.778 -4.319
-2.392 -4.701 -1.619
```